1.
Material: ScSnPt
Method: DFT, GGA-PBEsol
State: optimized geometry

a = 7.3699 Å, b = 7.3699 Å, c = 3.6394 Å
α = 90.00°, β = 90.00°, γ = 120.00°
Space group P-62m (No. 189)
One atom of each set of equivalent atoms:
Sc: 0.0000 0.6059 0.0000
Sn: 0.0000 0.2719 0.5000
Pt: 0.0000 0.0000 0.0000
Pt: 0.3333 0.6667 0.5000

Output
DFT total energy, eV/atom: -6.975
ρ, g/cm3: 10.44
Calculated formation energy, eV/atom: -1.0328
Crystal system: hexagonal
DOS at the Fermi energy, states/eV per atom: 0.333

2.
Material: CaTi2S4
Method: DFT, GGA-PBEsol
State: optimized geometry

a = 5.867 Å, b = 3.491 Å, c = 6.841 Å
α = 90.00°, β = 107.04°, γ = 90.00°
Space group P2/m (No. 10)
One atom of each set of equivalent atoms:
Ca: 0.000 0.000 0.000
Ti: 0.000 0.500 0.500
Ti: 0.500 0.000 0.500
S: 0.243 0.000 0.717
S: 0.266 0.500 0.279

Output
ΔE_f (raw), meV per atom: -1642
DFT total energy, eV/atom: -6.829
ρ, g/cm3: 3.27
E above lowest polymorph, meV/atom: 0
Crystal system: monoclinic
DOS at the Fermi energy, states/eV per atom: 0.581

3.
Material: SiHg2Pb
Method: DFT, GGA-PBEsol
State: optimized geometry

a = 4.269 Å, b = 4.269 Å, c = 5.006 Å
α = 90.00°, β = 90.00°, γ = 90.00°
Space group P4/mmm (No. 123)
One atom of each set of equivalent atoms:
Si: 0.000 0.000 0.000
Hg: 0.000 0.500 0.500
Pb: 0.500 0.500 0.000

Output
ΔE_f (raw), meV per atom: 300
DFT total energy, eV/atom: -2.419
ρ, g/cm3: 11.58
E above lowest polymorph, meV/atom: 72
Crystal system: tetragonal
DOS at the Fermi energy, states/eV per atom: 0.438

4.
Material: EuSb2S4
Method: DFT, GGA-PBEsol
State: optimized geometry

a = 11.396 Å, b = 3.961 Å, c = 14.051 Å
α = 90.00°, β = 90.00°, γ = 90.00°
Space group Pnma (No. 62)
One atom of each set of equivalent atoms:
Eu: 0.225 0.250 0.158
Sb: 0.063 0.750 0.395
Sb: 0.120 0.750 0.917
S: 0.014 0.750 0.709
S: 0.052 0.750 0.093
S: 0.183 0.250 0.517
S: 0.246 0.250 0.806

Output
ΔE_f (raw), meV per atom: -827
DFT total energy, eV/atom: -6.144
ρ, g/cm3: 5.48
Crystal system: orthorhombic
DOS at the Fermi energy, states/eV per atom: 2.478

5.
Material: BaTcRh2
Method: DFT, GGA-PBEsol
State: optimized geometry

a = 6.552 Å, b = 6.552 Å, c = 6.552 Å
α = 90.00°, β = 90.00°, γ = 90.00°
Space group F-43m (No. 216)
One atom of each set of equivalent atoms:
Ba: 0.000 0.000 0.000
Tc: 0.250 0.250 0.250
Rh: 0.000 0.000 0.500
Rh: 0.250 0.250 0.750

Output
DFT total energy, eV/atom: -6.511
ρ, g/cm3: 10.42
Calculated formation energy, eV/atom: 0.9123
Crystal system: cubic
DOS at the Fermi energy, states/eV per atom: 1.125

6.
Material: Ca3Pd2
Method: DFT, GGA-PBEsol
State: optimized geometry

a = 8.8050 Å, b = 8.8050 Å, c = 16.6654 Å
α = 90.00°, β = 90.00°, γ = 120.00°
Space group R-3 (No. 148, hexagonal axes)
One atom of each set of equivalent atoms:
Ca: 0.0000 0.0000 0.0000
Ca: 0.0000 0.0000 0.2037
Ca: 0.0101 0.2597 0.5933
Pd: 0.0218 0.6100 0.5661

Output
DFT total energy, eV/atom: -4.248
ρ, g/cm3: 4.45
Calculated formation energy, eV/atom: -0.5850
Crystal system: trigonal
DOS at the Fermi energy, states/eV per atom: 0.392

7.
Material: Zr2MoRh
Method: DFT, GGA-PBEsol
State: optimized geometry

a = 3.045 Å, b = 3.515 Å, c = 6.584 Å
α = 90.00°, β = 90.00°, γ = 90.00°
Space group Pmm2 (No. 25)
One atom of each set of equivalent atoms:
Zr: 0.000 0.000 0.000
Zr: 0.500 0.500 0.289
Mo: 0.000 0.000 0.538
Rh: 0.500 0.500 0.759

Output
DFT total energy, eV/atom: -9.596
ρ, g/cm3: 8.99
Calculated formation energy, eV/atom: -0.0745
Crystal system: orthorhombic
DOS at the Fermi energy, states/eV per atom: 0.967

8.
Material: Cd2MoOs
Method: DFT, GGA-PBEsol
State: optimized geometry

a = 3.111 Å, b = 4.473 Å, c = 9.583 Å
α = 90.00°, β = 90.00°, γ = 90.00°
Space group Immm (No. 71)
One atom of each set of equivalent atoms:
Cd: 0.000 0.000 0.244
Mo: 0.000 0.500 0.000
Os: 0.000 0.500 0.500

Output
DFT total energy, eV/atom: -6.014
ρ, g/cm3: 12.73
E above lowest polymorph, meV/atom: 0
Calculated formation energy, eV/atom: 0.5801
Crystal system: orthorhombic
DOS at the Fermi energy, states/eV per atom: 0.658

What is the ρ in the third record? 11.58 g/cm3